1.
Material: Pu
Method: DFT, PBE-GGA
State: relaxed

## Properties
total moment: 0.33 μB per formula unit
formation energy: 0.523 eV/atom
E above lowest polymorph: 523 meV per atom

```
data_Pu
_space_group_name_H-M_alt 'P 63/m m c'
_space_group_IT_number 194
_space_group_name_Hall '-P 6c 2c'
_cell_length_a 3.9782
_cell_length_b 3.9782
_cell_length_c 5.9989
_cell_angle_alpha 90.00
_cell_angle_beta 90.00
_cell_angle_gamma 120.00
loop_
_atom_site_label
_atom_site_type_symbol
_atom_site_fract_x
_atom_site_fract_y
_atom_site_fract_z
_atom_site_occupancy
Pu1 Pu 0.0000 0.0000 0.2500 1
Pu2 Pu 0.3333 0.6667 0.2500 1
```

***

2.
Material: AcTmMo
Method: DFT, PBE-GGA
State: relaxed

## Properties
total moment: 2.01 μB per formula unit
formation energy: 1.492 eV/atom
E above lowest polymorph: 240 meV per atom

```
data_AcTmMo
_space_group_name_H-M_alt 'F -4 3 m'
_space_group_IT_number 216
_space_group_name_Hall 'F -4 2 3'
_cell_length_a 7.276
_cell_length_b 7.276
_cell_length_c 7.276
_cell_angle_alpha 90.00
_cell_angle_beta 90.00
_cell_angle_gamma 90.00
loop_
_atom_site_label
_atom_site_type_symbol
_atom_site_fract_x
_atom_site_fract_y
_atom_site_fract_z
_atom_site_occupancy
Ac1 Ac 0.000 0.000 0.000 1
Tm1 Tm 0.250 0.250 0.250 1
Mo1 Mo 0.250 0.250 0.750 1
```

***

3.
Material: Tb2GdGa3PtAu2
Method: DFT, PBE-GGA
State: relaxed

## Properties
total moment: 0.00 μB per formula unit
raw total energy: -4.844 eV/atom

```
data_Tb2GdGa3PtAu2
_space_group_name_H-M_alt 'A m m 2'
_space_group_IT_number 38
_space_group_name_Hall 'A 2 -2'
_cell_length_a 3.886
_cell_length_b 12.937
_cell_length_c 7.467
_cell_angle_alpha 90.00
_cell_angle_beta 90.00
_cell_angle_gamma 90.00
loop_
_atom_site_label
_atom_site_type_symbol
_atom_site_fract_x
_atom_site_fract_y
_atom_site_fract_z
_atom_site_occupancy
Tb1 Tb 0.000 0.201 0.000 1
Gd1 Gd 0.000 0.000 0.605 1
Ga1 Ga 0.500 0.000 0.954 1
Ga2 Ga 0.500 0.124 0.325 1
Pt1 Pt 0.000 0.000 0.200 1
Au1 Au 0.500 0.167 0.702 1
```

***

4.
Material: NbFeCoSb
Method: DFT, PBE-GGA
State: relaxed

## Properties
total moment: 2.96 μB per formula unit
E above lowest polymorph: 162 meV per atom

```
data_NbFeCoSb
_space_group_name_H-M_alt 'F -4 3 m'
_space_group_IT_number 216
_space_group_name_Hall 'F -4 2 3'
_cell_length_a 6.270
_cell_length_b 6.270
_cell_length_c 6.270
_cell_angle_alpha 90.00
_cell_angle_beta 90.00
_cell_angle_gamma 90.00
loop_
_atom_site_label
_atom_site_type_symbol
_atom_site_fract_x
_atom_site_fract_y
_atom_site_fract_z
_atom_site_occupancy
Nb1 Nb 0.000 0.000 0.000 1
Fe1 Fe 0.250 0.250 0.750 1
Co1 Co 0.000 0.000 0.500 1
Sb1 Sb 0.250 0.250 0.250 1
```

***

5.
Material: Zr4SbSN2
Method: DFT, PBE-GGA
State: relaxed

## Properties
total moment: 0.00 μB per formula unit
raw total energy: -8.744 eV/atom

```
data_Zr4SbSN2
_space_group_name_H-M_alt 'P -6 m 2'
_space_group_IT_number 187
_space_group_name_Hall 'P -6 2'
_cell_length_a 3.4377
_cell_length_b 3.4377
_cell_length_c 12.7172
_cell_angle_alpha 90.00
_cell_angle_beta 90.00
_cell_angle_gamma 120.00
loop_
_atom_site_label
_atom_site_type_symbol
_atom_site_fract_x
_atom_site_fract_y
_atom_site_fract_z
_atom_site_occupancy
Zr1 Zr 0.0000 0.0000 0.1420 1
Zr2 Zr 0.6667 0.3333 0.3258 1
Sb1 Sb 0.0000 0.0000 0.5000 1
S1 S 0.6667 0.3333 0.0000 1
N1 N 0.3333 0.6667 0.2342 1
```

***

6.
Material: HfCoTcGe
Method: DFT, PBE-GGA
State: relaxed

## Properties
total moment: 2.81 μB per formula unit
E above lowest polymorph: 491 meV per atom

```
data_HfCoTcGe
_space_group_name_H-M_alt 'F -4 3 m'
_space_group_IT_number 216
_space_group_name_Hall 'F -4 2 3'
_cell_length_a 6.284
_cell_length_b 6.284
_cell_length_c 6.284
_cell_angle_alpha 90.00
_cell_angle_beta 90.00
_cell_angle_gamma 90.00
loop_
_atom_site_label
_atom_site_type_symbol
_atom_site_fract_x
_atom_site_fract_y
_atom_site_fract_z
_atom_site_occupancy
Hf1 Hf 0.000 0.000 0.000 1
Co1 Co 0.000 0.000 0.500 1
Tc1 Tc 0.250 0.250 0.750 1
Ge1 Ge 0.250 0.250 0.250 1
```

***

7.
Material: NdInHg
Method: DFT, PBE-GGA
State: relaxed

## Properties
total moment: 0.00 μB per formula unit
raw total energy: -2.690 eV/atom

```
data_NdInHg
_space_group_name_H-M_alt 'F -4 3 m'
_space_group_IT_number 216
_space_group_name_Hall 'F -4 2 3'
_cell_length_a 7.269
_cell_length_b 7.269
_cell_length_c 7.269
_cell_angle_alpha 90.00
_cell_angle_beta 90.00
_cell_angle_gamma 90.00
loop_
_atom_site_label
_atom_site_type_symbol
_atom_site_fract_x
_atom_site_fract_y
_atom_site_fract_z
_atom_site_occupancy
Nd1 Nd 0.000 0.000 0.000 1
In1 In 0.250 0.250 0.250 1
Hg1 Hg 0.250 0.250 0.750 1
```

***

8.
Material: Tm2ZrCo2
Method: DFT, PBE-GGA
State: relaxed

## Properties
total moment: 0.00 μB per formula unit
formation energy: -0.275 eV/atom

```
data_Tm2ZrCo2
_space_group_name_H-M_alt 'C 1 2/c 1'
_space_group_IT_number 15
_space_group_name_Hall '-C 2yc'
_cell_length_a 9.953
_cell_length_b 5.744
_cell_length_c 7.129
_cell_angle_alpha 90.00
_cell_angle_beta 101.50
_cell_angle_gamma 90.00
loop_
_atom_site_label
_atom_site_type_symbol
_atom_site_fract_x
_atom_site_fract_y
_atom_site_fract_z
_atom_site_occupancy
Tm1 Tm 0.150 0.118 0.149 1
Zr1 Zr 0.000 0.404 0.750 1
Co1 Co 0.150 0.344 0.502 1
```

***

9.
Material: UGeB
Method: DFT, PBE-GGA
State: relaxed

## Properties
total moment: 0.90 μB per formula unit
E above lowest polymorph: 507 meV per atom

```
data_UGeB
_space_group_name_H-M_alt 'F -4 3 m'
_space_group_IT_number 216
_space_group_name_Hall 'F -4 2 3'
_cell_length_a 6.168
_cell_length_b 6.168
_cell_length_c 6.168
_cell_angle_alpha 90.00
_cell_angle_beta 90.00
_cell_angle_gamma 90.00
loop_
_atom_site_label
_atom_site_type_symbol
_atom_site_fract_x
_atom_site_fract_y
_atom_site_fract_z
_atom_site_occupancy
U1 U 0.000 0.000 0.000 1
Ge1 Ge 0.250 0.250 0.250 1
B1 B 0.250 0.250 0.750 1
```

***

10.
Material: Pr2PI4
Method: DFT, PBE-GGA
State: relaxed

## Properties
total moment: 0.10 μB per formula unit
raw total energy: -3.455 eV/atom

```
data_Pr2PI4
_space_group_name_H-M_alt 'I 4/m m m'
_space_group_IT_number 139
_space_group_name_Hall '-I 4 2'
_cell_length_a 7.821
_cell_length_b 7.821
_cell_length_c 7.688
_cell_angle_alpha 90.00
_cell_angle_beta 90.00
_cell_angle_gamma 90.00
loop_
_atom_site_label
_atom_site_type_symbol
_atom_site_fract_x
_atom_site_fract_y
_atom_site_fract_z
_atom_site_occupancy
Pr1 Pr 0.000 0.500 0.250 1
P1 P 0.000 0.000 0.000 1
I1 I 0.234 0.234 0.500 1
```

***

11.
Material: RbUSi
Method: DFT, PBE-GGA
State: relaxed

## Properties
total moment: 3.00 μB per formula unit
E above lowest polymorph: 0 meV per atom

```
data_RbUSi
_space_group_name_H-M_alt 'F -4 3 m'
_space_group_IT_number 216
_space_group_name_Hall 'F -4 2 3'
_cell_length_a 7.369
_cell_length_b 7.369
_cell_length_c 7.369
_cell_angle_alpha 90.00
_cell_angle_beta 90.00
_cell_angle_gamma 90.00
loop_
_atom_site_label
_atom_site_type_symbol
_atom_site_fract_x
_atom_site_fract_y
_atom_site_fract_z
_atom_site_occupancy
Rb1 Rb 0.000 0.000 0.000 1
U1 U 0.000 0.000 0.500 1
Si1 Si 0.250 0.250 0.250 1
```

***

12.
Material: PrGdS2
Method: DFT, PBE-GGA
State: relaxed

## Properties
total moment: 0.01 μB per formula unit
E above lowest polymorph: 0 meV per atom

```
data_PrGdS2
_space_group_name_H-M_alt 'R -3 m'
_space_group_IT_number 166
_space_group_name_Hall '-R 3 2"'
_cell_length_a 4.0005
_cell_length_b 4.0005
_cell_length_c 19.9060
_cell_angle_alpha 90.00
_cell_angle_beta 90.00
_cell_angle_gamma 120.00
loop_
_atom_site_label
_atom_site_type_symbol
_atom_site_fract_x
_atom_site_fract_y
_atom_site_fract_z
_atom_site_occupancy
Pr1 Pr 0.0000 0.0000 0.0000 1
Gd1 Gd 0.0000 0.0000 0.5000 1
S1 S 0.0000 0.0000 0.2451 1
```

***

Copy entry 3 word for word.
Material: Tb2GdGa3PtAu2
Method: DFT, PBE-GGA
State: relaxed

## Properties
total moment: 0.00 μB per formula unit
raw total energy: -4.844 eV/atom

```
data_Tb2GdGa3PtAu2
_space_group_name_H-M_alt 'A m m 2'
_space_group_IT_number 38
_space_group_name_Hall 'A 2 -2'
_cell_length_a 3.886
_cell_length_b 12.937
_cell_length_c 7.467
_cell_angle_alpha 90.00
_cell_angle_beta 90.00
_cell_angle_gamma 90.00
loop_
_atom_site_label
_atom_site_type_symbol
_atom_site_fract_x
_atom_site_fract_y
_atom_site_fract_z
_atom_site_occupancy
Tb1 Tb 0.000 0.201 0.000 1
Gd1 Gd 0.000 0.000 0.605 1
Ga1 Ga 0.500 0.000 0.954 1
Ga2 Ga 0.500 0.124 0.325 1
Pt1 Pt 0.000 0.000 0.200 1
Au1 Au 0.500 0.167 0.702 1
```